Compound: Cs2Li3WF12
Source: Alexandria via LeMat-Bulk
Functional: PBE with a Hubbard U
Structure: optimized geometry

Structure (POSCAR):
```
Cs2Li3WF12
1.0
7.706 0.280 0.199
4.049 6.562 0.199
4.049 2.357 6.127
Cs Li W F
2 3 1 12
Direct
0.603 0.603 0.603
0.397 0.397 0.397
0.500 0.000 0.000
0.000 0.500 0.000
0.000 0.000 0.500
0.000 0.000 0.000
0.312 0.312 0.931
0.922 0.922 0.314
0.314 0.922 0.922
0.931 0.312 0.312
0.922 0.314 0.922
0.312 0.931 0.312
0.688 0.688 0.069
0.078 0.078 0.686
0.686 0.078 0.078
0.069 0.688 0.688
0.078 0.686 0.078
0.688 0.069 0.688
```

Computed properties:
Calculated total energy   -0.333 Ry per atom
Calculated volume   296 Å³ per cell
Mass density   3.9 g cm⁻³
SG   R-3m